(1)
# ZnTeSN2 | the Alexandria database | GGA-PBE | relaxed
data_ZnTeSN2
_chemical_formula_sum 'Zn1 Te1 S1 N2'
_space_group_name_H-M_alt 'P 4/m m m'
_space_group_IT_number 123
_space_group_name_Hall '-P 4 2'
_cell_length_a 3.8860
_cell_length_b 3.8860
_cell_length_c 5.6631
_cell_angle_alpha 90.00
_cell_angle_beta 90.00
_cell_angle_gamma 90.00
loop_
_atom_site_label
_atom_site_type_symbol
_atom_site_fract_x
_atom_site_fract_y
_atom_site_fract_z
_atom_site_occupancy
Zn1 Zn 0.0000 0.0000 0.0000 1
Te1 Te 0.5000 0.5000 0.5000 1
S1 S 0.5000 0.5000 0.0000 1
N1 N 0.0000 0.5000 0.5000 1
# * ΔE_f (raw): 6.2 eV/f.u.
# * polymorph energy (0 for the lowest one): 0.00 eV/f.u.
# * raw total energy: -18.99 eV/f.u.


(2)
# Pt2Rh | the Alexandria database | GGA-PBE | relaxed
data_Pt2Rh
_chemical_formula_sum 'Pt8 Rh4'
_space_group_name_H-M_alt 'I 41/a m d'
_space_group_IT_number 141
_cell_length_a 2.7352
_cell_length_b 2.7352
_cell_length_c 25.0675
_cell_angle_alpha 90.00
_cell_angle_beta 90.00
_cell_angle_gamma 90.00
loop_
_space_group_symop_operation_xyz
'x,y,z'
'-x,-y,-z'
'-y+1/4,x+3/4,z+1/4'
'y+1/4,-x+3/4,-z+1/4'
'-x+1/2,-y,z+1/2'
'x+1/2,y,-z+1/2'
'y+1/4,-x+1/4,z+3/4'
'-y+1/4,x+1/4,-z+3/4'
'x,-y,-z'
'-x,y,z'
'-y+1/4,-x+1/4,-z+3/4'
'y+1/4,x+1/4,z+3/4'
'-x+1/2,y,-z+1/2'
'x+1/2,-y,z+1/2'
'y+1/4,x+3/4,-z+1/4'
'-y+1/4,-x+3/4,z+1/4'
'x+1/2,y+1/2,z+1/2'
'-x+1/2,-y+1/2,-z+1/2'
'-y+3/4,x+1/4,z+3/4'
'y+3/4,-x+1/4,-z+3/4'
'-x,-y+1/2,z'
'x,y+1/2,-z'
'y+3/4,-x+3/4,z+1/4'
'-y+3/4,x+3/4,-z+1/4'
'x+1/2,-y+1/2,-z+1/2'
'-x+1/2,y+1/2,z+1/2'
'-y+3/4,-x+3/4,-z+1/4'
'y+3/4,x+3/4,z+1/4'
'-x,y+1/2,-z'
'x,-y+1/2,z'
'y+3/4,x+1/4,-z+3/4'
'-y+3/4,-x+1/4,z+3/4'
loop_
_atom_site_label
_atom_site_type_symbol
_atom_site_fract_x
_atom_site_fract_y
_atom_site_fract_z
_atom_site_occupancy
Pt1 Pt 0.0000 0.2500 0.2967 1
Rh1 Rh 0.0000 0.2500 0.8750 1
# * raw total energy: -19.27 eV/f.u.


Repeat the second record exactly.
# Pt2Rh | the Alexandria database | GGA-PBE | relaxed
data_Pt2Rh
_chemical_formula_sum 'Pt8 Rh4'
_space_group_name_H-M_alt 'I 41/a m d'
_space_group_IT_number 141
_cell_length_a 2.7352
_cell_length_b 2.7352
_cell_length_c 25.0675
_cell_angle_alpha 90.00
_cell_angle_beta 90.00
_cell_angle_gamma 90.00
loop_
_space_group_symop_operation_xyz
'x,y,z'
'-x,-y,-z'
'-y+1/4,x+3/4,z+1/4'
'y+1/4,-x+3/4,-z+1/4'
'-x+1/2,-y,z+1/2'
'x+1/2,y,-z+1/2'
'y+1/4,-x+1/4,z+3/4'
'-y+1/4,x+1/4,-z+3/4'
'x,-y,-z'
'-x,y,z'
'-y+1/4,-x+1/4,-z+3/4'
'y+1/4,x+1/4,z+3/4'
'-x+1/2,y,-z+1/2'
'x+1/2,-y,z+1/2'
'y+1/4,x+3/4,-z+1/4'
'-y+1/4,-x+3/4,z+1/4'
'x+1/2,y+1/2,z+1/2'
'-x+1/2,-y+1/2,-z+1/2'
'-y+3/4,x+1/4,z+3/4'
'y+3/4,-x+1/4,-z+3/4'
'-x,-y+1/2,z'
'x,y+1/2,-z'
'y+3/4,-x+3/4,z+1/4'
'-y+3/4,x+3/4,-z+1/4'
'x+1/2,-y+1/2,-z+1/2'
'-x+1/2,y+1/2,z+1/2'
'-y+3/4,-x+3/4,-z+1/4'
'y+3/4,x+3/4,z+1/4'
'-x,y+1/2,-z'
'x,-y+1/2,z'
'y+3/4,x+1/4,-z+3/4'
'-y+3/4,-x+1/4,z+3/4'
loop_
_atom_site_label
_atom_site_type_symbol
_atom_site_fract_x
_atom_site_fract_y
_atom_site_fract_z
_atom_site_occupancy
Pt1 Pt 0.0000 0.2500 0.2967 1
Rh1 Rh 0.0000 0.2500 0.8750 1
# * raw total energy: -19.27 eV/f.u.


Which formula does entry 1 have?
ZnTeSN2


Which formula does entry 2 have?
Pt2Rh